Here is TcXeO4F5 after structural relaxation from Alexandria. Energies are from PBE-GGA.

Output
**Uncorrected formation energy**: -7.70 eV/f.u.
**Fermi-level density of states**: 0.0 states/eV per cell

a b c (Å): 9.488 9.488 5.407
angles (deg): 90.00 90.00 127.22
Last column: magnetic moment on the atom in μB.
Fractional coordinates of all 22 atoms:
Tc1 0.405 0.595 0.896  0.00
Tc2 0.595 0.405 0.396  0.00
Xe1 0.881 0.119 0.556  -0.01
Xe2 0.119 0.881 0.056  -0.01
O1 0.330 0.670 0.696  0.00
O2 0.349 0.011 0.934  0.06
O3 0.359 0.641 0.173  0.00
O4 0.670 0.330 0.196  0.00
O5 0.989 0.651 0.934  0.06
O6 0.641 0.359 0.673  0.00
O7 0.011 0.349 0.434  0.06
O8 0.651 0.989 0.434  0.06
F1 0.213 0.353 0.881  0.00
F2 0.037 0.963 0.766  0.00
F3 0.814 0.186 0.873  0.01
F4 0.787 0.647 0.381  0.00
F5 0.485 0.515 0.591  0.00
F6 0.353 0.213 0.381  0.00
F7 0.647 0.787 0.881  0.00
F8 0.515 0.485 0.091  0.00
F9 0.963 0.037 0.266  0.00
F10 0.186 0.814 0.373  0.01


Here is YTcO2F after structural relaxation from Alexandria. Energies are from PBE-GGA.

Output
**Uncorrected formation energy**: -7.36 eV/f.u.
**Fermi-level density of states**: 1.6 states/eV per cell

a b c (Å): 4.416 4.416 4.251
angles (deg): 90.00 90.00 90.00
Last column: magnetic moment on the atom in μB.
Fractional coordinates of all 5 atoms:
Y1 0.000 0.000 0.000  -0.01
Tc1 0.500 0.500 0.500  4.13
O1 0.000 0.500 0.000  0.14
O2 0.500 0.000 0.000  0.14
F1 0.000 0.000 0.500  0.03


Here is YTcO2F after structural relaxation from Alexandria. Energies are from PBE-GGA.

Output
**Uncorrected formation energy**: -7.87 eV/f.u.
**Fermi-level density of states**: 3.3 states/eV per cell

a b c (Å): 4.002 4.002 4.108
angles (deg): 90.00 90.00 90.00
Fractional coordinates of all 5 atoms:
Y1 0.500 0.500 0.500
Tc1 0.000 0.000 0.000
O1 0.000 0.500 0.000
O2 0.500 0.000 0.000
F1 0.000 0.000 0.500


Here is ZnTcOF2 after structural relaxation from Alexandria. Energies are from PBE-GGA.

Output
**Uncorrected formation energy**: -5.18 eV/f.u.
**E above lowest polymorph**: 0.00 kJ/mol of atoms
**Fermi-level density of states**: 4.4 states/eV per cell

a b c (Å): 4.261 4.261 3.768
angles (deg): 90.00 90.00 90.00
Fractional coordinates of all 5 atoms:
Zn1 0.500 0.500 0.500
Tc1 0.000 0.000 0.000
O1 0.000 0.000 0.500
F1 0.000 0.500 0.000
F2 0.500 0.000 0.000


Here is ZnTcOF2 after structural relaxation from Alexandria. Energies are from PBE-GGA.

Output
**Uncorrected formation energy**: -4.21 eV/f.u.
**E above lowest polymorph**: 18.83 kJ/mol of atoms
**Fermi-level density of states**: 0.1 states/eV per cell

a b c (Å): 3.972 3.972 4.103
angles (deg): 90.00 90.00 90.00
Last column: magnetic moment on the atom in μB.
Fractional coordinates of all 5 atoms:
Zn1 0.000 0.000 0.000  0.00
Tc1 0.500 0.500 0.500  4.20
O1 0.000 0.000 0.500  0.16
F1 0.000 0.500 0.000  0.06
F2 0.500 0.000 0.000  0.06


Here is ZnTcO2F after structural relaxation from Alexandria. Energies are from PBE-GGA.

Output
**Uncorrected formation energy**: -2.03 eV/f.u.
**Fermi-level density of states**: 2.9 states/eV per cell

a b c (Å): 3.923 3.923 3.908
angles (deg): 90.00 90.00 90.00
Last column: magnetic moment on the atom in μB.
Fractional coordinates of all 5 atoms:
Zn1 0.000 0.000 0.000  0.01
Tc1 0.500 0.500 0.500  3.93
O1 0.000 0.500 0.000  0.02
O2 0.500 0.000 0.000  0.02
F1 0.000 0.000 0.500  0.07